Pu2MnAs: relaxed, PBE.

a b c (Å): 3.7774 3.7774 5.6697
angles (deg): 90.00 90.00 90.00
With the nearest neighbours (Å) after each atom.
Positions (direct):
Pu: 0.0000 0.0000 0.7560  2 Pu 2.77-2.90, 4 As 3.01, 4 Mn 3.04
Pu: 0.0000 0.0000 0.2440  2 Pu 2.77-2.90, 4 As 3.01, 4 Mn 3.04
Mn: 0.5000 0.5000 0.5000  2 As 2.83, 8 Pu 3.04
As: 0.5000 0.5000 0.0000  2 Mn 2.83, 8 Pu 3.01

Output
- Calculated density: 12.68 Mg/m³
- Relative energy among the computed polymorphs: 0 meV/atom
- Energy of formation: -0.417 eV per atom
- Uncorrected energy: -44.152 eV per cell
- SG: No. 123